[1]
8
Lattice="-0.8002 -5.1317 -0.5371 5.1362 -0.7404 -0.5779 2.6450 -3.5343 4.4479" Properties=species:S:1:pos:R:3 comment="AgPbN2 | the Alexandria database | GGA-PBE | optimized geometry" spacegroup="I-42d, No. 122" energy_ev_per_cell=-37.35 n_ef_per_ev_cell=5.64 formation_energy_uncorrected_ev_per_atom=1.134 volume_a3_per_cell=138.05 pbc="T T T"
N 3.7705 -1.9933 0.6831
Pb 2.0064 -5.8010 1.6766
Ag 2.1680 -2.9360 -0.5575
Pb 0.0000 0.0000 0.0000
N 0.8040 -4.1779 0.7046
N 3.6153 -4.8536 2.9172
N 5.7723 -7.7880 2.3609
Ag 4.9746 -3.6054 1.6562

***

[2]
5
Lattice="4.3815 0.0000 0.0000 0.0000 4.3815 0.0000 0.0000 0.0000 4.3815" Properties=species:S:1:pos:R:3 comment="AgPbN3 | the Alexandria database | GGA-PBE | optimized geometry" spacegroup="Pm-3m, No. 221" energy_ev_per_cell=-20.14 n_ef_per_ev_cell=2.08 formation_energy_uncorrected_ev_per_atom=2.279 volume_a3_per_cell=84.11 pbc="T T T"
Ag 2.1908 2.1908 2.1908
N 2.1908 0.0000 0.0000
N 0.0000 2.1908 0.0000
Pb 0.0000 0.0000 0.0000
N 0.0000 0.0000 2.1908

***

[3]
5
Lattice="-0.1515 0.9813 4.0638 2.7977 -2.9979 0.8282 3.1065 2.7478 -0.5477" Properties=species:S:1:pos:R:3 comment="AgPbN3 | the Alexandria database | GGA-PBE | optimized geometry" spacegroup="Pm-3m, No. 221" energy_ev_per_cell=-21.34 n_ef_per_ev_cell=2.54 formation_energy_uncorrected_ev_per_atom=2.039 volume_a3_per_cell=73.21 pbc="T T T"
Pb 2.8763 0.3656 2.1721
Ag 0.0000 0.0000 0.0000
N 1.5532 1.3739 -0.2738
N 1.3989 -1.4989 0.4141
N -0.0757 0.4906 2.0319

***

[4]
4
Lattice="-3.3891 -2.1846 5.4156 -3.3546 -4.8805 3.2426 -0.5974 -4.2252 5.2324" Properties=species:S:1:pos:R:3 comment="AgPbN2 | the Alexandria database | GGA-PBE | optimized geometry" spacegroup="R-3m, No. 166" energy_ev_per_cell=-18.72 n_ef_per_ev_cell=3.76 formation_energy_uncorrected_ev_per_atom=1.123 volume_a3_per_cell=66.97 pbc="T T T"
Ag 0.0000 0.0000 0.0000
N -0.7759 -1.1934 1.4682
N -6.5652 -10.0969 12.4224
Pb -3.6706 -5.6451 6.9453